--- i ---
The following is a PBE calculation of PrHoEr after structural relaxation, from Alexandria.

abc: 11.8519 3.5955 10.1038
angles: 90.00 115.26 90.00
Closest atoms and distances in Å follow each position.
Space group C2/m (No. 12)
Unique sites:
1 Pr 0.9999 0.0000 0.2503 (multiplicity 4)  5 Ho 3.55-3.59, 5 Er 3.56-3.59, 2 Pr 3.60
2 Ho 0.1685 0.5000 0.0846 (multiplicity 4)  5 Pr 3.55-3.59, 2 Er 3.56, 5 Ho 3.57-3.61
3 Er 0.1683 0.5000 0.5836 (multiplicity 4)  5 Er 3.55-3.61, 5 Pr 3.56-3.59, 2 Ho 3.56

- Total moment: 0.0 μB/cell
- DOS(E_F): 3.9 states/eV/f.u.

--- ii ---
The following is a PBE calculation of PrHoEr after structural relaxation, from Alexandria.

abc: 5.6826 5.6826 3.4893
angles: 90.00 90.00 120.00
Closest atoms and distances in Å follow each position.
Space group P-6m2 (No. 187)
Unique sites:
1 Pr 0.0000 0.0000 0.0000 (multiplicity 1)  2 Pr 3.49, 6 Ho 3.72, 6 Er 3.72
2 Ho 0.3333 0.6667 0.5000 (multiplicity 1)  3 Er 3.28, 2 Ho 3.49
3 Er 0.6667 0.3333 0.5000 (multiplicity 1)  3 Ho 3.28, 2 Er 3.49

- Total moment: 0.0 μB/cell
- DOS(E_F): 4.4 states/eV/f.u.

What are the relative energies? In meV/atom: i 0; ii 54.

--- i ---
The following is a PBE calculation of PrHoEr5 after structural relaxation, from Alexandria.

abc: 5.7607 8.6088 11.7953
angles: 90.00 90.00 90.00
Closest atoms and distances in Å follow each position.
Space group Immm (No. 71)
Unique sites:
1 Pr 0.0000 0.0000 0.0000 (multiplicity 2)  6 Er 2.99-3.27
2 Ho 0.0000 0.0000 0.5000 (multiplicity 2)  6 Er 2.76-2.90
3 Er 0.0000 0.0000 0.2538 (multiplicity 4)  1 Ho 2.90, 1 Pr 2.99
4 Er 0.0000 0.3211 0.5000 (multiplicity 4)  1 Ho 2.76, 1 Er 3.08
5 Er 0.0000 0.5000 0.0000 (multiplicity 2)  2 Ho 2.88

- Total moment: 0.0 μB/cell
- DOS(E_F): 8.4 states/eV/f.u.

--- ii ---
The following is a PBE calculation of PrHoEr5 after structural relaxation, from Alexandria.

abc: 11.5985 6.7628 12.1284
angles: 90.00 109.24 90.00
Closest atoms and distances in Å follow each position.
Space group C2/c (No. 15)
Unique sites:
1 Pr 0.2500 0.2500 0.0000 (multiplicity 4)  4 Er 3.27-3.62
2 Ho 0.0000 0.0281 0.2500 (multiplicity 4)  3 Er 3.02-3.30
3 Er 0.0000 0.4178 0.7500 (multiplicity 4)  2 Er 2.99, 1 Ho 3.02
4 Er 0.0754 0.2747 0.4985 (multiplicity 8)  4 Er 3.27-3.57, 1 Ho 3.30
5 Er 0.2226 0.3568 0.2535 (multiplicity 8)  2 Er 2.99-3.27, 1 Pr 3.27

- Total moment: 0.0 μB/cell
- DOS(E_F): 9.7 states/eV/f.u.

What are the relative energies? In meV/atom: i 937; ii 0.

--- i ---
The following is a PBE calculation of Pr4Ho2Er after structural relaxation, from Alexandria.

abc: 12.0637 24.4256 6.4963
angles: 90.00 90.00 90.00
Closest atoms and distances in Å follow each position.
Space group Fdd2 (No. 43)
Unique sites:
1 Pr 0.0518 0.0701 0.0000 (multiplicity 16)  4 Ho 3.45-3.69, 4 Pr 3.46-3.65, 2 Er 3.71-3.74
2 Pr 0.0694 0.1438 0.5311 (multiplicity 16)  5 Pr 3.46-3.64, 3 Ho 3.61-3.87, 2 Er 3.62-3.67
3 Ho 0.0240 0.2161 0.0543 (multiplicity 16)  6 Pr 3.45-3.69, 2 Er 3.48-3.63, 2 Ho 3.69
4 Er 0.0000 0.0000 0.4967 (multiplicity 8)  4 Ho 3.48-3.63, 8 Pr 3.62-3.74

- Total moment: 0.0 μB/cell
- DOS(E_F): 10.5 states/eV/f.u.

--- ii ---
The following is a PBE calculation of Pr4Ho2Er after structural relaxation, from Alexandria.

abc: 6.2650 6.7052 11.6819
angles: 90.00 104.51 90.00
Closest atoms and distances in Å follow each position.
Space group P2_1/m (No. 11)
Unique sites:
1 Pr 0.0435 0.2500 0.3662 (multiplicity 2)  3 Er 3.37-3.55, 2 Pr 3.42, 3 Ho 3.42-3.49
2 Pr 0.1518 0.2500 0.9509 (multiplicity 2)  1 Er 3.35, 4 Ho 3.44-3.49, 4 Pr 3.51-3.66
3 Pr 0.3560 0.5111 0.2161 (multiplicity 4)  4 Pr 3.20-3.51, 1 Er 3.47, 1 Ho 3.53
4 Ho 0.2871 0.7500 0.9222 (multiplicity 2)  9 Pr 3.44-3.71
5 Ho 0.3909 0.7500 0.5051 (multiplicity 2)  6 Pr 3.42-3.69, 1 Er 3.45, 2 Ho 3.63
6 Er 0.1470 0.2500 0.6632 (multiplicity 2)  6 Pr 3.35-3.55, 1 Ho 3.45

- Total moment: 0.0 μB/cell
- DOS(E_F): 10.4 states/eV/f.u.

What are the relative energies? In meV/atom: i 0; ii 64.

--- i ---
The following is a PBE calculation of PrHo2Er9 after structural relaxation, from Alexandria.

abc: 11.1383 11.1383 3.4982
angles: 90.00 90.00 120.00
Closest atoms and distances in Å follow each position.
Space group P6/mmm (No. 191)
Unique sites:
1 Pr 0.0000 0.0000 0.0000 (multiplicity 1)  2 Pr 3.50, 12 Er 3.87
2 Ho 0.3333 0.6667 0.0000 (multiplicity 2)  9 Er 3.22-3.46, 2 Ho 3.50
3 Er 0.0000 0.5000 0.0000 (multiplicity 3)  2 Ho 3.22, 10 Er 3.50-3.56
4 Er 0.1789 0.3577 0.5000 (multiplicity 6)  8 Er 3.45-3.56, 2 Ho 3.46

- Total moment: 0.0 μB/cell
- DOS(E_F): 16.4 states/eV/f.u.

--- ii ---
The following is a PBE calculation of PrHo2Er9 after structural relaxation, from Alexandria.

abc: 4.9877 4.9877 14.9570
angles: 90.00 90.00 90.00
Closest atoms and distances in Å follow each position.
Space group P4/mmm (No. 123)
Unique sites:
1 Pr 0.0000 0.0000 0.0000 (multiplicity 1)  12 Er 3.53-3.56
2 Ho 0.0000 0.0000 0.3346 (multiplicity 2)  12 Er 3.51-3.53
3 Er 0.0000 0.5000 0.1696 (multiplicity 4)  2 Ho 3.51, 8 Er 3.52-3.56, 2 Pr 3.56
4 Er 0.0000 0.5000 0.5000 (multiplicity 2)  8 Er 3.50-3.53, 4 Ho 3.51
5 Er 0.5000 0.5000 0.0000 (multiplicity 1)  4 Pr 3.53, 8 Er 3.56
6 Er 0.5000 0.5000 0.3353 (multiplicity 2)  8 Er 3.50-3.52, 4 Ho 3.53

- Total moment: 0.0 μB/cell
- DOS(E_F): 16.8 states/eV/f.u.

What are the relative energies? In meV/atom: i 14; ii 0.

--- i ---
The following is a PBE calculation of Pr2Ho4Er5 after structural relaxation, from Alexandria.

abc: 3.4812 8.9935 23.1886
angles: 90.00 90.00 90.00
Closest atoms and distances in Å follow each position.
Space group Immm (No. 71)
Unique sites:
1 Pr 0.0000 0.0000 0.2332 (multiplicity 4)  1 Ho 3.16, 2 Er 3.42, 2 Pr 3.48
2 Ho 0.0000 0.0000 0.0971 (multiplicity 4)  1 Pr 3.16, 6 Ho 3.32-3.48, 4 Er 3.41
3 Ho 0.0000 0.3101 0.5000 (multiplicity 4)  4 Er 3.29-3.41, 7 Ho 3.32-3.48
4 Er 0.0000 0.1928 0.3602 (multiplicity 8)  3 Ho 3.41, 1 Pr 3.42, 3 Er 3.47-3.48
5 Er 0.0000 0.5000 0.0000 (multiplicity 2)  4 Ho 3.29, 2 Er 3.48

- Total moment: 0.0 μB/cell
- DOS(E_F): 16.1 states/eV/f.u.

--- ii ---
The following is a PBE calculation of Pr2Ho4Er5 after structural relaxation, from Alexandria.

abc: 3.5520 8.6941 11.7671
angles: 75.74 81.35 89.96
Closest atoms and distances in Å follow each position.
Space group P-1 (No. 2)
Unique sites:
1 Pr 0.0916 0.2286 0.3172 (multiplicity 2)  5 Er 3.55-3.56, 2 Pr 3.55, 5 Ho 3.57-3.59
2 Ho 0.1822 0.9536 0.1353 (multiplicity 2)  5 Er 3.51-3.56, 6 Ho 3.53-3.55, 1 Pr 3.57
3 Ho 0.4533 0.1398 0.5937 (multiplicity 2)  3 Er 3.49-3.53, 5 Ho 3.53-3.65, 4 Pr 3.58-3.59
4 Er 0.0000 0.5000 0.5000 (multiplicity 1)  4 Ho 3.53, 2 Pr 3.55, 6 Er 3.55-3.56
5 Er 0.2713 0.6815 0.9570 (multiplicity 2)  3 Ho 3.51-3.56, 7 Er 3.51-3.57, 2 Pr 3.56
6 Er 0.3630 0.4069 0.7738 (multiplicity 2)  3 Ho 3.49-3.53, 7 Er 3.51-3.57, 2 Pr 3.56

- Total moment: 0.0 μB/cell
- DOS(E_F): 14.9 states/eV/f.u.

What are the relative energies? In meV/atom: i 185; ii 0.

--- i ---
The following is a PBE calculation of PrHo2Er6 after structural relaxation, from Alexandria.

abc: 10.5939 10.5939 5.0020
angles: 90.00 90.00 90.00
Closest atoms and distances in Å follow each position.
Space group P4_2/mnm (No. 136)
Unique sites:
1 Pr 0.0000 0.0000 0.0000 (multiplicity 2)  8 Er 3.55, 4 Ho 3.55
2 Ho 0.1682 0.1682 0.5000 (multiplicity 4)  10 Er 3.50-3.56, 2 Pr 3.55
3 Er 0.0002 0.3348 0.0000 (multiplicity 8)  8 Er 3.50-3.54, 3 Ho 3.52-3.54, 1 Pr 3.55
4 Er 0.1680 0.8320 0.5000 (multiplicity 4)  4 Ho 3.50-3.56, 6 Er 3.51-3.54, 2 Pr 3.55

- Total moment: 0.0 μB/cell
- DOS(E_F): 11.4 states/eV/f.u.

--- ii ---
The following is a PBE calculation of PrHo2Er6 after structural relaxation, from Alexandria.

abc: 5.5875 28.9812 3.4636
angles: 90.00 90.00 90.00
Closest atoms and distances in Å follow each position.
Space group Cmmm (No. 65)
Unique sites:
1 Pr 0.0000 0.0000 0.0000 (multiplicity 2)  2 Pr 3.46, 12 Er 3.68-3.71
2 Ho 0.0000 0.3327 0.0000 (multiplicity 4)  2 Ho 3.46, 12 Er 3.62-3.66
3 Er 0.0000 0.1131 0.5000 (multiplicity 4)  5 Er 3.19-3.46
4 Er 0.0000 0.2231 0.5000 (multiplicity 4)  5 Er 3.19-3.46
5 Er 0.0000 0.4431 0.5000 (multiplicity 4)  5 Er 3.23-3.46

- Total moment: 0.0 μB/cell
- DOS(E_F): 15.1 states/eV/f.u.

What are the relative energies? In meV/atom: i 0; ii 51.

--- i ---
The following is a PBE calculation of Pr2Ho2Er7 after structural relaxation, from Alexandria.

abc: 11.1887 11.4984 6.0688
angles: 90.00 113.99 90.00
Closest atoms and distances in Å follow each position.
Space group C2/m (No. 12)
Unique sites:
1 Pr 0.0941 0.0000 0.3070 (multiplicity 4)  7 Er 3.45-3.75, 2 Pr 3.46-3.73, 2 Ho 3.73
2 Ho 0.0000 0.2879 0.0000 (multiplicity 4)  6 Er 3.28-3.42
3 Er 0.0000 0.5000 0.5000 (multiplicity 2)  6 Er 3.28-3.39
4 Er 0.1741 0.2622 0.6799 (multiplicity 8)  2 Ho 3.28-3.41, 6 Er 3.28-3.61, 1 Pr 3.66
5 Er 0.2281 0.5000 0.0769 (multiplicity 4)  5 Er 3.34-3.53, 2 Ho 3.42, 2 Pr 3.45-3.63

- Total moment: 0.0 μB/cell
- DOS(E_F): 18.2 states/eV/f.u.

--- ii ---
The following is a PBE calculation of Pr2Ho2Er7 after structural relaxation, from Alexandria.

abc: 11.2303 11.4314 6.0327
angles: 90.00 113.59 90.00
Closest atoms and distances in Å follow each position.
Space group C2/m (No. 12)
Unique sites:
1 Pr 0.2318 0.0000 0.0913 (multiplicity 4)  8 Er 3.33-3.69, 2 Ho 3.49
2 Ho 0.0000 0.2186 0.0000 (multiplicity 4)  6 Er 3.28-3.63, 2 Pr 3.49
3 Er 0.0000 0.0000 0.5000 (multiplicity 2)  4 Er 3.24, 2 Pr 3.47
4 Er 0.0889 0.5000 0.3016 (multiplicity 4)  6 Er 3.38-3.76, 3 Pr 3.40-3.69, 2 Ho 3.63
5 Er 0.1729 0.2357 0.6729 (multiplicity 8)  3 Er 3.22-3.60, 2 Ho 3.28-3.44, 2 Pr 3.33-3.57

- Total moment: 0.0 μB/cell
- DOS(E_F): 17.8 states/eV/f.u.

What are the relative energies? In meV/atom: i 0; ii 5.

--- i ---
The following is a PBE calculation of PrHo3Er7 after structural relaxation, from Alexandria.

abc: 12.4851 11.1242 5.7528
angles: 90.00 117.36 90.00
Closest atoms and distances in Å follow each position.
Space group C2/m (No. 12)
Unique sites:
1 Pr 0.0000 0.0000 0.0000 (multiplicity 2)  2 Er 2.88
2 Ho 0.0000 0.2942 0.5000 (multiplicity 4)  5 Er 3.23-3.42
3 Ho 0.0000 0.5000 0.0000 (multiplicity 2)  4 Er 3.16
4 Er 0.0000 0.0000 0.5000 (multiplicity 2)  2 Pr 2.88
5 Er 0.2057 0.5000 0.7049 (multiplicity 4)  2 Ho 3.23, 1 Pr 3.26, 6 Er 3.54-3.60
6 Er 0.2087 0.3066 0.2085 (multiplicity 8)  2 Ho 3.16-3.42, 2 Er 3.27

- Total moment: 0.0 μB/cell
- DOS(E_F): 16.8 states/eV/f.u.

--- ii ---
The following is a PBE calculation of PrHo3Er7 after structural relaxation, from Alexandria.

abc: 6.8963 5.4954 9.8346
angles: 90.00 109.24 90.00
Closest atoms and distances in Å follow each position.
Space group P2/m (No. 10)
Unique sites:
1 Pr 0.0000 0.0000 0.0000 (multiplicity 1)  2 Ho 3.45, 10 Er 3.53-3.78
2 Ho 0.2761 0.5000 0.4944 (multiplicity 2)  1 Ho 3.05, 4 Er 3.29-3.35
3 Ho 0.5000 0.0000 0.0000 (multiplicity 1)  2 Pr 3.45, 10 Er 3.46-3.79
4 Er 0.0000 0.0000 0.5000 (multiplicity 1)  4 Ho 3.35, 2 Er 3.73
5 Er 0.1502 0.5000 0.7895 (multiplicity 2)  3 Er 3.28-3.55, 2 Ho 3.29-3.32
6 Er 0.3244 0.5000 0.1428 (multiplicity 2)  5 Er 3.26-3.55, 3 Ho 3.48-3.58, 2 Pr 3.53
7 Er 0.4291 0.0000 0.3321 (multiplicity 2)  3 Er 3.12-3.26, 1 Ho 3.46

- Total moment: 0.0 μB/cell
- DOS(E_F): 17.7 states/eV/f.u.

What are the relative energies? In meV/atom: i 112; ii 0.